Ca3GeRu: optimized geometry, PBE.

Computed properties:
Total magnetization ... 2.0 μB/cell
ΔE_f ... 50.7 kJ/mol of atoms
DOS at the Fermi energy ... 8.78 states/eV/cell
Excess energy over the best structure of this formula in the dataset ... 235.2 meV per atom

Lattice parameters (Å, degrees): 5.5533 5.5533 5.5533 90.00 90.00 90.00
Fractional coordinates of all 5 atoms:
1 Ru 0.5000 0.5000 0.5000
2 Ge 0.0000 0.0000 0.0000
3 Ca 0.0000 0.5000 0.0000
4 Ca 0.0000 0.0000 0.5000
5 Ca 0.5000 0.0000 0.0000